Model a:
First-principles (PBE-GGA) data for a geometry-optimized DyY5Mg structure, as listed in Alexandria via LeMat-Bulk.

a = 8.865 Å, b = 8.865 Å, c = 10.383 Å
α = 123.61°, β = 123.61°, γ = 42.80°
Fractional positions:
Dy: 0.000 0.500 0.000
Dy: 0.500 0.000 0.500
Y: 0.045 0.955 0.250
Y: 0.070 0.591 0.422
Y: 0.171 0.645 0.894
Y: 0.355 0.829 0.606
Y: 0.409 0.930 0.078
Y: 0.591 0.070 0.922
Y: 0.645 0.171 0.394
Y: 0.829 0.355 0.106
Y: 0.930 0.409 0.578
Y: 0.955 0.045 0.750
Mg: 0.492 0.508 0.750
Mg: 0.508 0.492 0.250

=====

Model b:
First-principles (PBE-GGA) data for a geometry-optimized DyY5Mg structure, as listed in Alexandria via LeMat-Bulk.

a = 6.545 Å, b = 6.545 Å, c = 12.311 Å
α = 98.19°, β = 98.19°, γ = 59.99°
Fractional positions:
Dy: 0.205 0.795 0.750
Dy: 0.795 0.205 0.250
Y: 0.096 0.211 0.555
Y: 0.193 0.330 0.828
Y: 0.211 0.096 0.055
Y: 0.298 0.702 0.250
Y: 0.330 0.193 0.328
Y: 0.670 0.807 0.672
Y: 0.702 0.298 0.750
Y: 0.789 0.904 0.945
Y: 0.807 0.670 0.172
Y: 0.904 0.789 0.445
Mg: 0.500 0.500 0.000
Mg: 0.500 0.500 0.500

=====

Here is how they stack up, most stable first: model a, model b.

=====

Model a:
First-principles (PBE-GGA) data for a geometry-optimized Dy7Y2Mg2 structure, as listed in Alexandria via LeMat-Bulk.

a = 8.109 Å, b = 8.109 Å, c = 5.661 Å
α = 106.04°, β = 106.04°, γ = 85.55°
Fractional positions:
Dy: 0.000 0.000 0.000
Dy: 0.012 0.603 0.815
Dy: 0.224 0.224 0.674
Dy: 0.397 0.988 0.185
Dy: 0.603 0.012 0.815
Dy: 0.776 0.776 0.326
Dy: 0.988 0.397 0.185
Y: 0.221 0.779 0.500
Y: 0.779 0.221 0.500
Mg: 0.443 0.443 0.215
Mg: 0.557 0.557 0.785

=====

Model b:
First-principles (PBE-GGA) data for a geometry-optimized Dy7Y2Mg2 structure, as listed in Alexandria via LeMat-Bulk.

a = 6.128 Å, b = 6.443 Å, c = 8.682 Å
α = 99.03°, β = 96.16°, γ = 92.98°
Fractional positions:
Dy: 0.000 0.000 0.000
Dy: 0.037 0.437 0.798
Dy: 0.443 0.348 0.131
Dy: 0.464 0.113 0.757
Dy: 0.536 0.887 0.243
Dy: 0.557 0.652 0.869
Dy: 0.963 0.563 0.202
Y: 0.134 0.161 0.407
Y: 0.866 0.839 0.593
Mg: 0.328 0.656 0.515
Mg: 0.672 0.344 0.485

=====

Here is how they stack up, most stable first: model b, model a.

=====

Model a:
First-principles (PBE-GGA) data for a geometry-optimized Dy4Y2Mg structure, as listed in Alexandria via LeMat-Bulk.

a = 6.539 Å, b = 6.539 Å, c = 19.174 Å
α = 90.00°, β = 90.00°, γ = 147.90°
Fractional positions:
Dy: 0.000 0.000 0.000
Dy: 0.000 0.000 0.500
Dy: 0.187 0.813 0.750
Dy: 0.461 0.539 0.145
Dy: 0.461 0.539 0.355
Dy: 0.539 0.461 0.645
Dy: 0.539 0.461 0.855
Dy: 0.813 0.187 0.250
Y: 0.276 0.724 0.583
Y: 0.276 0.724 0.917
Y: 0.724 0.276 0.083
Y: 0.724 0.276 0.417
Mg: 0.106 0.894 0.250
Mg: 0.894 0.106 0.750

=====

Model b:
First-principles (PBE-GGA) data for a geometry-optimized Dy4Y2Mg structure, as listed in Alexandria via LeMat-Bulk.

a = 6.025 Å, b = 6.522 Å, c = 11.427 Å
α = 90.00°, β = 105.25°, γ = 90.00°
Fractional positions:
Dy: 0.030 0.250 0.375
Dy: 0.147 0.250 0.941
Dy: 0.354 0.001 0.213
Dy: 0.354 0.499 0.213
Dy: 0.646 0.501 0.787
Dy: 0.646 0.999 0.787
Dy: 0.853 0.750 0.059
Dy: 0.970 0.750 0.625
Y: 0.280 0.750 0.922
Y: 0.393 0.750 0.498
Y: 0.607 0.250 0.502
Y: 0.720 0.250 0.078
Mg: 0.156 0.250 0.666
Mg: 0.844 0.750 0.334

=====

Here is how they stack up, most stable first: model a, model b.

=====

Model a:
First-principles (PBE-GGA) data for a geometry-optimized Dy5Y4Mg structure, as listed in Alexandria via LeMat-Bulk.

a = 8.016 Å, b = 8.016 Å, c = 8.016 Å
α = 97.38°, β = 97.38°, γ = 138.01°
Fractional positions:
Dy: 0.000 0.000 0.000
Dy: 0.094 0.094 0.629
Dy: 0.094 0.465 0.000
Dy: 0.465 0.094 0.000
Dy: 0.465 0.465 0.371
Y: 0.108 0.789 0.319
Y: 0.470 0.789 0.681
Y: 0.789 0.108 0.319
Y: 0.789 0.470 0.681
Mg: 0.522 0.522 0.000

=====

Model b:
First-principles (PBE-GGA) data for a geometry-optimized Dy5Y4Mg structure, as listed in Alexandria via LeMat-Bulk.

a = 3.567 Å, b = 3.567 Å, c = 24.375 Å
α = 90.00°, β = 90.00°, γ = 90.00°
Fractional positions:
Dy: 0.000 0.000 0.000
Dy: 0.000 0.000 0.206
Dy: 0.000 0.000 0.411
Dy: 0.000 0.000 0.589
Dy: 0.000 0.000 0.794
Y: 0.500 0.500 0.103
Y: 0.500 0.500 0.310
Y: 0.500 0.500 0.690
Y: 0.500 0.500 0.897
Mg: 0.500 0.500 0.500

=====

Here is how they stack up, most stable first: model b, model a.